(1)
A relaxed structure of PtPb2, computed with GGA-PBE.

abc: 3.9636 3.9636 74.0711
angles: 90.00 90.00 120.00
Last column: nearest neighbours and their distance in Å.
Space group R-3m (No. 166, hexagonal axes)
Unique sites:
Pt  0.0000  0.0000  0.0000 x3  6 Pb 2.79
Pt  0.0000  0.0000  0.0835 x6  6 Pb 2.78-2.81
Pt  0.0000  0.0000  0.5000 x3  6 Pb 2.80
Pb  0.0000  0.0000  0.1449 x6  3 Pt 2.80
Pb  0.0000  0.0000  0.2285 x6  3 Pt 2.78
Pb  0.0000  0.0000  0.3117 x6  3 Pt 2.79
Pb  0.0000  0.0000  0.3950 x6  3 Pt 2.81

M_tot = 0.00 μB/f.u.
Electronic total energy = -4.6169 eV per atom

***

(2)
A relaxed structure of PrHoH2I4, computed with GGA-PBE.

abc: 4.0785 4.0785 16.6584
angles: 90.00 90.00 120.00
Last column: nearest neighbours and their distance in Å.
Space group P-6m2 (No. 187)
Unique sites:
Pr  0.0000  0.0000  0.0000 x1  3 H 2.35
Ho  0.0000  0.0000  0.5000 x1  3 H 2.35
H  0.3333  0.6667  0.0000 x1  3 Pr 2.35
H  0.6667  0.3333  0.5000 x1  3 Ho 2.35
I  0.3333  0.6667  0.3754 x2  3 Ho 3.14, 3 H 3.14
I  0.6667  0.3333  0.1325 x2  3 Pr 3.23, 3 H 3.23

M_tot = 0.00 μB/f.u.
Electronic total energy = -3.9813 eV per atom

***

(3)
A relaxed structure of Gd2ErAl3Si2Pt, computed with GGA-PBE.

abc: 4.2319 12.0065 6.9353
angles: 90.00 90.00 90.00
Last column: nearest neighbours and their distance in Å.
Space group Amm2 (No. 38)
Unique sites:
Gd  0.0000  0.2086  0.0000 x4  1 Pt 2.91, 4 Si 2.97-2.98, 2 Al 3.20
Er  0.0000  0.0000  0.6256 x2  1 Pt 2.85, 4 Si 2.95
Al  0.5000  0.0000  0.9721 x2  2 Si 2.69, 2 Pt 2.70, 2 Al 2.85
Al  0.5000  0.1178  0.3286 x4  2 Pt 2.67, 2 Si 2.69-2.74, 2 Al 2.83-2.85
Si  0.5000  0.1644  0.7083 x4  3 Al 2.69-2.74, 2 Er 2.95, 4 Gd 2.97-2.98
Pt  0.0000  0.0000  0.2140 x2  6 Al 2.67-2.70, 1 Er 2.85, 2 Gd 2.91

M_tot = 0.02 μB/f.u.
Electronic total energy = -5.5398 eV per atom

***

(4)
A relaxed structure of HfMgU, computed with GGA-PBE.

abc: 6.9529 6.9529 6.9529
angles: 90.00 90.00 90.00
Last column: nearest neighbours and their distance in Å.
Space group F-43m (No. 216)
Unique sites:
Hf  0.0000  0.0000  0.0000 x4  4 U 3.01
Mg  0.0000  0.0000  0.5000 x4  4 U 3.01
U  0.2500  0.2500  0.2500 x4  4 Hf 3.01, 4 Mg 3.01

M_tot = 3.64 μB/f.u.
Distance to the lowest polymorph of the same formula = 5.66 kcal/mol of atoms